No. 1
Below is a relaxed structure of Sn2GeBr6, with properties calculated at the PBE-GGA level.

energy relative to the elements, uncorrected: -6.17 eV per formula unit
symmetry: P2_1/c
VASP energy: -57.66 eV/cell
total magnetic moment: 0.000 μB/f.u.

abc: 7.320 7.089 14.492
angles: 90.00 120.30 90.00
Atoms (fractional coordinates):
Sn  0.177  0.001  0.177
Sn  0.177  0.499  0.677
Sn  0.823  0.501  0.323
Sn  0.823  0.999  0.823
Ge  0.500  0.000  0.000
Ge  0.500  0.500  0.500
Br  0.173  0.222  0.000
Br  0.173  0.278  0.500
Br  0.182  0.736  0.343
Br  0.182  0.764  0.843
Br  0.495  0.734  0.657
Br  0.495  0.766  0.157
Br  0.505  0.234  0.843
Br  0.505  0.266  0.343
Br  0.818  0.236  0.157
Br  0.818  0.264  0.657
Br  0.827  0.722  0.500
Br  0.827  0.778  0.000


No. 2
Below is a relaxed structure of Sn4Ge6Br19, with properties calculated at the PBE-GGA level.

energy relative to the elements, uncorrected: -14.95 eV per formula unit
symmetry: I23
VASP energy: -90.45 eV/cell
total magnetic moment: 0.000 μB/f.u.

abc: 10.884 10.884 10.884
angles: 109.47 109.47 109.47
Atoms (fractional coordinates):
Sn  0.000  0.000  0.274
Sn  0.000  0.274  0.000
Sn  0.274  0.000  0.000
Sn  0.726  0.726  0.726
Ge  0.142  0.500  0.642
Ge  0.358  0.858  0.500
Ge  0.500  0.358  0.858
Ge  0.500  0.642  0.142
Ge  0.642  0.142  0.500
Ge  0.858  0.500  0.358
Br  0.000  0.000  0.000
Br  0.000  0.275  0.275
Br  0.000  0.725  0.725
Br  0.069  0.765  0.393
Br  0.235  0.304  0.628
Br  0.275  0.000  0.275
Br  0.275  0.275  0.000
Br  0.304  0.628  0.235
Br  0.324  0.696  0.931
Br  0.372  0.676  0.607
Br  0.393  0.069  0.765
Br  0.607  0.372  0.676
Br  0.628  0.235  0.304
Br  0.676  0.607  0.372
Br  0.696  0.931  0.324
Br  0.725  0.000  0.725
Br  0.725  0.725  0.000
Br  0.765  0.393  0.069
Br  0.931  0.324  0.696


No. 3
Below is a relaxed structure of SnGe2Br8, with properties calculated at the PBE-GGA level.

energy relative to the elements, uncorrected: -5.87 eV per formula unit
symmetry: C2/m
VASP energy: -32.49 eV/cell
total magnetic moment: 0.000 μB/f.u.

abc: 8.276 8.276 7.447
angles: 90.01 90.01 69.19
Atoms (fractional coordinates):
Sn  0.000  0.000  0.000
Ge  0.195  0.195  0.630
Ge  0.805  0.805  0.370
Br  0.066  0.662  0.175
Br  0.109  0.109  0.306
Br  0.338  0.934  0.825
Br  0.368  0.368  0.673
Br  0.632  0.632  0.327
Br  0.662  0.066  0.175
Br  0.891  0.891  0.694
Br  0.934  0.338  0.825